The following is a DFT calculation (GGA-PBE) of a geometry-optimized Y2ZrTl structure.

extended XYZ file:
```
12
Lattice="3.480 0.000 0.000 -1.740 3.014 0.000 0.000 0.000 32.015" Properties=species:S:1:pos:R:3 pbc="T T T"
Y 0.000 0.000 7.979
Y 0.000 0.000 24.035
Y 0.000 2.009 13.364
Y 0.000 2.009 29.323
Y 1.740 1.005 2.692
Y 1.740 1.005 18.651
Zr 0.000 0.000 16.007
Zr 0.000 2.009 5.336
Zr 1.740 1.005 26.679
Tl 0.000 0.000 0.000
Tl 0.000 2.009 21.343
Tl 1.740 1.005 10.672
```

Calculated values
Formation energy = -0.0799 eV/atom
SG = R-3m, No. 166